(1)
Computed, not measured: crystalline KHfTe3Au at its relaxed geometry at the PBE level of DFT.

## Properties
- raw total energy (eV/atom) = -4.671
- M_tot (μB per atom) = 0.000

a = 4.170 Å, b = 8.276 Å, c = 11.117 Å
α = 90.00°, β = 90.00°, γ = 75.41°
Atoms (fractional coordinates):
Au 0.543 0.913 0.250
Au 0.457 0.087 0.750
Hf 0.000 0.000 0.000
Hf 0.000 0.000 0.500
K 0.237 0.526 0.250
K 0.763 0.474 0.750
Te 0.627 0.746 0.036
Te 0.928 0.145 0.250
Te 0.627 0.746 0.464
Te 0.373 0.254 0.536
Te 0.072 0.855 0.750
Te 0.373 0.254 0.964

=====

(2)
Computed, not measured: crystalline RbTcMo at its relaxed geometry at the PBE level of DFT.

## Properties
- raw total energy (eV/atom) = -3.977
- M_tot (μB per atom) = 0.019

a = 4.483 Å, b = 4.483 Å, c = 4.483 Å
α = 60.00°, β = 60.00°, γ = 60.00°
Atoms (fractional coordinates):
Mo 0.250 0.250 0.250
Rb 0.000 0.000 0.000
Tc 0.750 0.750 0.750

=====

(3)
Computed, not measured: crystalline Ga2PdN8 at its relaxed geometry at the PBE level of DFT.

## Properties
- raw total energy (eV/atom) = -5.891

a = 5.853 Å, b = 5.853 Å, c = 6.679 Å
α = 94.00°, β = 94.00°, γ = 35.26°
Atoms (fractional coordinates):
Ga 0.793 0.793 0.332
Ga 0.207 0.207 0.668
N 0.554 0.216 0.147
N 0.216 0.554 0.147
N 0.622 0.622 0.312
N 0.147 0.147 0.392
N 0.853 0.853 0.608
N 0.378 0.378 0.688
N 0.784 0.446 0.853
N 0.446 0.784 0.853
Pd 0.000 0.000 0.000

=====

(4)
Computed, not measured: crystalline InFeOsW at its relaxed geometry at the PBE level of DFT.

## Properties
- raw total energy (eV/atom) = -8.483
- M_tot (μB per atom) = 0.269

a = 4.422 Å, b = 4.422 Å, c = 4.422 Å
α = 60.00°, β = 60.00°, γ = 60.00°
Atoms (fractional coordinates):
Fe 0.750 0.750 0.750
In 0.000 0.000 0.000
Os 0.250 0.250 0.250
W 0.500 0.500 0.500

=====

(5)
Computed, not measured: crystalline TaRe at its relaxed geometry at the PBE level of DFT.

## Properties
- ΔE_f (eV per atom) = -0.110
- raw total energy (eV/atom) = -12.248
- M_tot (μB per atom) = 0.002

a = 5.260 Å, b = 5.260 Å, c = 8.567 Å
α = 90.00°, β = 90.00°, γ = 120.51°
Atoms (fractional coordinates):
Re 0.000 0.000 0.000
Re 0.174 0.343 0.250
Re 0.657 0.826 0.250
Re 0.000 0.000 0.500
Re 0.343 0.174 0.750
Re 0.826 0.657 0.750
Ta 0.667 0.333 0.057
Ta 0.170 0.830 0.250
Ta 0.667 0.333 0.443
Ta 0.333 0.667 0.557
Ta 0.830 0.170 0.750
Ta 0.333 0.667 0.943

=====

(6)
Computed, not measured: crystalline PrAsNO at its relaxed geometry at the PBE level of DFT.

## Properties
- raw total energy (eV/atom) = -6.678
- M_tot (μB per atom) = 0.000

a = 4.873 Å, b = 5.065 Å, c = 5.065 Å
α = 90.00°, β = 90.00°, γ = 90.00°
Atoms (fractional coordinates):
As 0.472 0.750 0.250
As 0.528 0.250 0.750
N 0.098 0.750 0.250
N 0.902 0.250 0.750
O 0.500 0.250 0.250
O 0.500 0.750 0.750
Pr 0.000 0.250 0.250
Pr 0.000 0.750 0.750

=====

(7)
Computed, not measured: crystalline PrAlAg2O4 at its relaxed geometry at the PBE level of DFT.

## Properties
- raw total energy (eV/atom) = -5.954
- M_tot (μB per atom) = 0.000

a = 3.279 Å, b = 3.279 Å, c = 12.687 Å
α = 90.00°, β = 90.00°, γ = 120.00°
Atoms (fractional coordinates):
Ag 0.333 0.667 0.268
Ag 0.667 0.333 0.732
Al 0.000 0.000 0.500
O 0.333 0.667 0.105
O 0.333 0.667 0.433
O 0.667 0.333 0.567
O 0.667 0.333 0.895
Pr 0.000 0.000 0.000

=====

(8)
Computed, not measured: crystalline NaOsSeO at its relaxed geometry at the PBE level of DFT.

## Properties
- raw total energy (eV/atom) = -5.727
- M_tot (μB per atom) = 0.000

a = 6.654 Å, b = 7.006 Å, c = 5.708 Å
α = 90.00°, β = 105.86°, γ = 90.00°
Atoms (fractional coordinates):
Na 0.136 0.797 0.041
Na 0.864 0.297 0.459
Na 0.136 0.703 0.541
Na 0.864 0.203 0.959
O 0.610 0.352 0.099
O 0.390 0.852 0.401
O 0.610 0.148 0.599
O 0.390 0.648 0.901
Os 0.481 0.094 0.222
Os 0.519 0.594 0.278
Os 0.481 0.406 0.722
Os 0.519 0.906 0.778
Se 0.749 0.862 0.191
Se 0.251 0.362 0.309
Se 0.749 0.638 0.691
Se 0.251 0.138 0.809

=====

(9)
Computed, not measured: crystalline Nd2Dy2CI2Br2Cl at its relaxed geometry at the PBE level of DFT.

## Properties
- raw total energy (eV/atom) = -4.955
- M_tot (μB per atom) = 0.002

a = 9.579 Å, b = 9.579 Å, c = 8.207 Å
α = 101.47°, β = 101.47°, γ = 23.35°
Atoms (fractional coordinates):
Br 0.151 0.151 0.348
Br 0.849 0.849 0.652
C 0.500 0.500 0.000
Cl 0.500 0.500 0.500
Dy 0.998 0.998 0.203
Dy 0.002 0.002 0.797
I 0.830 0.830 0.206
I 0.170 0.170 0.794
Nd 0.637 0.637 0.073
Nd 0.363 0.363 0.927

=====

(10)
Computed, not measured: crystalline Dy2Ga9Co3 at its relaxed geometry at the PBE level of DFT.

## Properties
- raw total energy (eV/atom) = -4.615
- M_tot (μB per atom) = 0.000

a = 7.348 Å, b = 7.348 Å, c = 9.407 Å
α = 90.00°, β = 90.00°, γ = 119.79°
Atoms (fractional coordinates):
Co 0.000 0.000 0.000
Co 0.671 0.329 0.000
Co 0.329 0.671 0.000
Co 0.000 0.000 0.500
Co 0.671 0.329 0.500
Co 0.329 0.671 0.500
Dy 0.331 0.003 0.250
Dy 0.003 0.331 0.250
Dy 0.997 0.669 0.750
Dy 0.669 0.997 0.750
Ga 0.334 0.334 0.058
Ga 0.000 0.666 0.072
Ga 0.666 0.000 0.072
Ga 0.664 0.450 0.250
Ga 0.450 0.664 0.250
Ga 0.879 0.879 0.250
Ga 0.000 0.666 0.428
Ga 0.666 0.000 0.428
Ga 0.334 0.334 0.442
Ga 0.666 0.666 0.558
Ga 0.334 0.000 0.572
Ga 0.000 0.334 0.572
Ga 0.121 0.121 0.750
Ga 0.550 0.336 0.750
Ga 0.336 0.550 0.750
Ga 0.334 0.000 0.928
Ga 0.000 0.334 0.928
Ga 0.666 0.666 0.942

=====

(11)
Computed, not measured: crystalline LiMgAu2 at its relaxed geometry at the PBE level of DFT.

## Properties
- raw total energy (eV/atom) = -3.089

a = 4.566 Å, b = 4.566 Å, c = 4.566 Å
α = 120.82°, β = 120.82°, γ = 88.59°
Atoms (fractional coordinates):
Au 0.750 0.250 0.500
Au 0.250 0.750 0.500
Li 0.500 0.500 0.000
Mg 0.000 0.000 0.000

=====

(12)
Computed, not measured: crystalline SrCdNO at its relaxed geometry at the PBE level of DFT.

## Properties
- raw total energy (eV/atom) = -4.538

a = 5.044 Å, b = 5.044 Å, c = 4.861 Å
α = 90.00°, β = 90.00°, γ = 90.00°
Atoms (fractional coordinates):
Cd 0.250 0.250 0.000
Cd 0.750 0.750 0.000
N 0.250 0.250 0.499
N 0.750 0.750 0.501
O 0.750 0.250 0.000
O 0.250 0.750 0.000
Sr 0.750 0.250 0.500
Sr 0.250 0.750 0.500

=====

(13)
Computed, not measured: crystalline Ho2ErTl2Zn3Cd at its relaxed geometry at the PBE level of DFT.

## Properties
- raw total energy (eV/atom) = -2.864
- M_tot (μB per atom) = 0.001

a = 4.526 Å, b = 7.198 Å, c = 7.198 Å
α = 119.87°, β = 90.00°, γ = 90.00°
Atoms (fractional coordinates):
Cd 0.000 0.001 0.001
Er 0.000 0.431 0.431
Ho 0.000 0.000 0.569
Ho 0.000 0.569 0.000
Tl 0.500 0.666 0.333
Tl 0.500 0.333 0.666
Zn 0.500 0.000 0.230
Zn 0.500 0.770 0.770
Zn 0.500 0.230 0.000

=====

(14)
Computed, not measured: crystalline Pa2Zn15Ag2 at its relaxed geometry at the PBE level of DFT.

## Properties
- ΔE_f (eV per atom) = -0.115
- raw total energy (eV/atom) = -2.410
- M_tot (μB per atom) = 0.047

a = 6.816 Å, b = 6.816 Å, c = 6.816 Å
α = 82.55°, β = 82.55°, γ = 82.55°
Each line ends with the local moment (μB).
Atoms (fractional coordinates):
Ag 0.108 0.108 0.108  0.00
Ag 0.892 0.892 0.892  0.00
Pa 0.344 0.344 0.344  0.37
Pa 0.656 0.656 0.656  0.37
Zn 0.500 0.000 0.000  0.00
Zn 0.704 0.296 0.000  0.00
Zn 0.000 0.500 0.000  0.00
Zn 0.296 0.704 0.000  0.00
Zn 0.646 0.646 0.160  0.00
Zn 0.704 0.000 0.296  0.00
Zn 0.000 0.704 0.296  0.00
Zn 0.840 0.354 0.354  0.00
Zn 0.354 0.840 0.354  0.00
Zn 0.000 0.000 0.500  0.00
Zn 0.646 0.160 0.646  0.00
Zn 0.160 0.646 0.646  0.00
Zn 0.296 0.000 0.704  0.00
Zn 0.000 0.296 0.704  0.00
Zn 0.354 0.354 0.840  0.00

=====

(15)
Computed, not measured: crystalline Bi3Au2 at its relaxed geometry at the PBE level of DFT.

## Properties
- raw total energy (eV/atom) = -3.731

a = 7.610 Å, b = 7.610 Å, c = 7.610 Å
α = 72.92°, β = 72.92°, γ = 72.92°
Atoms (fractional coordinates):
Au 0.455 0.664 0.088
Au 0.912 0.545 0.336
Au 0.664 0.088 0.455
Au 0.336 0.912 0.545
Au 0.088 0.455 0.664
Au 0.545 0.336 0.912
Bi 0.867 0.311 0.104
Bi 0.689 0.896 0.133
Bi 0.296 0.296 0.296
Bi 0.104 0.867 0.311
Bi 0.500 0.500 0.500
Bi 0.896 0.133 0.689
Bi 0.704 0.704 0.704
Bi 0.311 0.104 0.867
Bi 0.133 0.689 0.896

=====

(16)
Computed, not measured: crystalline GeMoPb2 at its relaxed geometry at the PBE level of DFT.

## Properties
- raw total energy (eV/atom) = -4.915
- M_tot (μB per atom) = 0.503

a = 5.046 Å, b = 5.046 Å, c = 5.046 Å
α = 60.00°, β = 60.00°, γ = 60.00°
Each line ends with the local moment (μB).
Atoms (fractional coordinates):
Ge 0.000 0.000 0.000  -0.05
Mo 0.750 0.750 0.750  1.75
Pb 0.250 0.250 0.250  -0.02
Pb 0.500 0.500 0.500  -0.02

=====

(17)
Computed, not measured: crystalline UBiC3 at its relaxed geometry at the PBE level of DFT.

## Properties
- raw total energy (eV/atom) = -7.081
- M_tot (μB per atom) = 0.000

a = 6.601 Å, b = 5.922 Å, c = 5.922 Å
α = 60.01°, β = 90.00°, γ = 90.00°
Atoms (fractional coordinates):
Bi 0.000 0.000 0.000
Bi 0.500 0.000 0.000
C 0.250 0.636 0.180
C 0.750 0.183 0.180
C 0.250 0.180 0.183
C 0.750 0.636 0.183
C 0.250 0.183 0.636
C 0.750 0.180 0.636
U 0.000 0.333 0.333
U 0.500 0.333 0.333

=====

(18)
Computed, not measured: crystalline RbAg2PS2O2 at its relaxed geometry at the PBE level of DFT.

## Properties
- raw total energy (eV/atom) = -4.730

a = 5.872 Å, b = 5.872 Å, c = 6.131 Å
α = 117.28°, β = 117.28°, γ = 63.52°
Atoms (fractional coordinates):
Ag 0.752 0.757 0.241
Ag 0.243 0.248 0.759
O 0.066 0.706 0.041
O 0.294 0.934 0.959
P 0.042 0.958 0.000
Rb 0.443 0.557 0.500
S 0.954 0.294 0.311
S 0.706 0.046 0.689

=====

(19)
Computed, not measured: crystalline LiNpBr6 at its relaxed geometry at the PBE level of DFT.

## Properties
- raw total energy (eV/atom) = -4.265
- M_tot (μB per atom) = 0.250

a = 7.000 Å, b = 7.001 Å, c = 7.468 Å
α = 62.05°, β = 90.00°, γ = 60.01°
Each line ends with the local moment (μB).
Atoms (fractional coordinates):
Br 0.386 0.512 0.248  -0.08
Br 0.759 0.855 0.248  -0.08
Br 0.103 0.138 0.248  -0.08
Br 0.897 0.862 0.752  -0.08
Br 0.241 0.145 0.752  -0.08
Br 0.614 0.488 0.752  -0.08
Li 0.500 0.000 0.500  0.00
Np 0.000 0.000 0.000  2.59

=====

(20)
Computed, not measured: crystalline ZrBe2Co2 at its relaxed geometry at the PBE level of DFT.

## Properties
- raw total energy (eV/atom) = -6.350
- M_tot (μB per atom) = 0.000

a = 4.907 Å, b = 4.907 Å, c = 4.907 Å
α = 134.88°, β = 134.88°, γ = 65.72°
Atoms (fractional coordinates):
Be 0.369 0.369 0.000
Be 0.631 0.631 0.000
Co 0.750 0.250 0.500
Co 0.250 0.750 0.500
Zr 0.000 0.000 0.000

=====

(21)
Computed, not measured: crystalline HoTmSnB at its relaxed geometry at the PBE level of DFT.

## Properties
- raw total energy (eV/atom) = -5.199
- M_tot (μB per atom) = 0.003

a = 3.618 Å, b = 3.618 Å, c = 16.340 Å
α = 90.00°, β = 90.00°, γ = 120.00°
Atoms (fractional coordinates):
B 0.000 0.000 0.249
B 0.000 0.000 0.751
Ho 0.333 0.667 0.342
Ho 0.333 0.667 0.658
Sn 0.333 0.667 0.000
Sn 0.667 0.333 0.500
Tm 0.667 0.333 0.157
Tm 0.667 0.333 0.843

=====

(22)
Computed, not measured: crystalline Nd2Al3Hg3 at its relaxed geometry at the PBE level of DFT.

## Properties
- raw total energy (eV/atom) = -3.069
- M_tot (μB per atom) = 0.000

a = 6.751 Å, b = 6.751 Å, c = 4.709 Å
α = 90.00°, β = 90.00°, γ = 120.00°
Atoms (fractional coordinates):
Al 0.527 0.054 0.000
Al 0.946 0.473 0.000
Al 0.527 0.473 0.000
Hg 0.352 0.176 0.500
Hg 0.824 0.176 0.500
Hg 0.824 0.648 0.500
Nd 0.000 0.000 0.000
Nd 0.333 0.667 0.500